Entry 1:
VASP calculation (SCAN) on BiPSe3 at its PBEsol-relaxed geometry.

Computed properties:
For the relative energy among the computed polymorphs, the calculation gives 0.8246 eV/atom. Its crystal system is cubic. As for the density of states at the Fermi level: 5.96 states/eV/f.u. The uncorrected formation energy comes out at 1.1155 eV per atom. The total magnetic moment is 0.516 μB/f.u.

```
data_BiPSe3
_chemical_formula_sum 'Bi1 P1 Se3'
_symmetry_space_group_name_H-M 'P m -3 m'
_symmetry_Int_Tables_number 221
_symmetry_space_group_name_Hall '-P 4 2 3'
_cell_length_a 5.383
_cell_length_b 5.383
_cell_length_c 5.383
_cell_angle_alpha 90.00
_cell_angle_beta 90.00
_cell_angle_gamma 90.00
loop_
_atom_site_label
_atom_site_type_symbol
_atom_site_fract_x
_atom_site_fract_y
_atom_site_fract_z
Bi1 Bi 0.000 0.000 0.000
P1 P 0.500 0.500 0.500
Se1 Se 0.000 0.000 0.500
```


Entry 2:
VASP calculation (SCAN) on RbRuCl2 at its PBEsol-relaxed geometry.

Computed properties:
Its crystal system is cubic. The uncorrected formation energy comes out at -0.4312 eV per atom. The total magnetic moment is 3.000 μB/f.u.

```
data_RbRuCl2
_chemical_formula_sum 'Rb4 Ru4 Cl8'
_symmetry_space_group_name_H-M 'F m -3 m'
_symmetry_Int_Tables_number 225
_symmetry_space_group_name_Hall '-F 4 2 3'
_cell_length_a 7.030
_cell_length_b 7.030
_cell_length_c 7.030
_cell_angle_alpha 90.00
_cell_angle_beta 90.00
_cell_angle_gamma 90.00
loop_
_atom_site_label
_atom_site_type_symbol
_atom_site_fract_x
_atom_site_fract_y
_atom_site_fract_z
Rb1 Rb 0.000 0.000 0.000
Ru1 Ru 0.000 0.000 0.500
Cl1 Cl 0.250 0.250 0.250
```